Entry 1:
# Ca2CuNi3

A relaxed Ca2CuNi3 crystal (GGA-PBE, Alexandria).

```
data_Ca2CuNi3
_space_group_name_H-M_alt 'R -3 m'
_space_group_IT_number 166
_space_group_name_Hall '-R 3 2"'
_cell_length_a 5.1423
_cell_length_b 5.1423
_cell_length_c 12.5232
_cell_angle_alpha 90.00
_cell_angle_beta 90.00
_cell_angle_gamma 120.00
loop_
_atom_site_label
_atom_site_type_symbol
_atom_site_fract_x
_atom_site_fract_y
_atom_site_fract_z
Ca1 Ca 0.0000 0.0000 0.1239
Cu1 Cu 0.0000 0.0000 0.5000
Ni1 Ni 0.0000 0.5000 0.0000
```

Output
Fermi-level density of states: 5.08 states/eV/f.u.
Formation energy: -0.178 eV/atom

Entry 2:
# Ca2CuNi

A relaxed Ca2CuNi crystal (GGA-PBE, Alexandria).

```
data_Ca2CuNi
_space_group_name_H-M_alt 'F -4 3 m'
_space_group_IT_number 216
_space_group_name_Hall 'F -4 2 3'
_cell_length_a 6.842
_cell_length_b 6.842
_cell_length_c 6.842
_cell_angle_alpha 90.00
_cell_angle_beta 90.00
_cell_angle_gamma 90.00
loop_
_atom_site_label
_atom_site_type_symbol
_atom_site_fract_x
_atom_site_fract_y
_atom_site_fract_z
Ca1 Ca 0.000 0.000 0.000
Ca2 Ca 0.250 0.250 0.250
Cu1 Cu 0.000 0.000 0.500
Ni1 Ni 0.250 0.250 0.750
```

Output
Fermi-level density of states: 4.43 states/eV/f.u.
Formation energy: 0.220 eV/atom

Entry 3:
# CaCu5Ni

A relaxed CaCu5Ni crystal (GGA-PBE, Alexandria).

```
data_CaCu5Ni
_space_group_name_H-M_alt 'P n m a'
_space_group_IT_number 62
_cell_length_a 8.000
_cell_length_b 4.998
_cell_length_c 10.030
_cell_angle_alpha 90.00
_cell_angle_beta 90.00
_cell_angle_gamma 90.00
loop_
_space_group_symop_operation_xyz
'x,y,z'
'-x,-y,-z'
'-x+1/2,-y,z+1/2'
'x+1/2,y,-z+1/2'
'x+1/2,-y+1/2,-z+1/2'
'-x+1/2,y+1/2,z+1/2'
'-x,y+1/2,-z'
'x,-y+1/2,z'
loop_
_atom_site_label
_atom_site_type_symbol
_atom_site_fract_x
_atom_site_fract_y
_atom_site_fract_z
Ca1 Ca 0.240 0.250 0.063
Cu1 Cu 0.064 0.008 0.306
Cu2 Cu 0.064 0.750 0.089
Cu3 Cu 0.103 0.250 0.518
Cu4 Cu 0.184 0.250 0.759
Ni1 Ni 0.153 0.750 0.853
```

Output
Fermi-level density of states: 2.78 states/eV/f.u.
Formation energy: -0.042 eV/atom

> What is the formation energy in the first record?

-0.178 eV/atom

> Number 3 is which compound?

CaCu5Ni

Repeat the third record exactly.
# CaCu5Ni

A relaxed CaCu5Ni crystal (GGA-PBE, Alexandria).

```
data_CaCu5Ni
_space_group_name_H-M_alt 'P n m a'
_space_group_IT_number 62
_cell_length_a 8.000
_cell_length_b 4.998
_cell_length_c 10.030
_cell_angle_alpha 90.00
_cell_angle_beta 90.00
_cell_angle_gamma 90.00
loop_
_space_group_symop_operation_xyz
'x,y,z'
'-x,-y,-z'
'-x+1/2,-y,z+1/2'
'x+1/2,y,-z+1/2'
'x+1/2,-y+1/2,-z+1/2'
'-x+1/2,y+1/2,z+1/2'
'-x,y+1/2,-z'
'x,-y+1/2,z'
loop_
_atom_site_label
_atom_site_type_symbol
_atom_site_fract_x
_atom_site_fract_y
_atom_site_fract_z
Ca1 Ca 0.240 0.250 0.063
Cu1 Cu 0.064 0.008 0.306
Cu2 Cu 0.064 0.750 0.089
Cu3 Cu 0.103 0.250 0.518
Cu4 Cu 0.184 0.250 0.759
Ni1 Ni 0.153 0.750 0.853
```

Output
Fermi-level density of states: 2.78 states/eV/f.u.
Formation energy: -0.042 eV/atom

> Look up the Fermi-level density of states of the third one.

2.78 states/eV/f.u.